1.
Computed, not measured: SmInCu after structural relaxation at the GGA-PBE level of DFT.

abc: 7.518 7.518 4.045
angles: 90.00 90.00 120.00
Fractional positions:
Cu (0.667, 0.333, 0.000)
Cu (0.333, 0.667, 0.000)
Cu (0.000, 0.000, 0.500)
In (0.251, 0.000, 0.000)
In (0.000, 0.251, 0.000)
In (0.749, 0.749, 0.000)
Sm (0.588, 0.000, 0.500)
Sm (0.412, 0.412, 0.500)
Sm (0.000, 0.588, 0.500)

## Properties
As for the space-group type: P-62m (189). For the raw total energy, the calculation gives -0.3033 Ry/atom.


2.
Computed, not measured: BaNaPd after structural relaxation at the GGA-PBE level of DFT.

abc: 5.294 5.294 5.294
angles: 60.00 60.00 60.00
Fractional positions:
Ba (0.000, 0.000, 0.000)
Na (0.250, 0.250, 0.250)
Pd (0.750, 0.750, 0.750)

## Properties
As for the space-group type: F-43m (216). For the raw total energy, the calculation gives -0.1926 Ry/atom.


3.
Computed, not measured: TlCoNiPt after structural relaxation at the GGA-PBE level of DFT.

abc: 4.379 4.379 4.379
angles: 60.00 60.00 60.00
Each line ends with the local moment (μB).
Fractional positions:
Co (0.750, 0.750, 0.750)  -1.50
Ni (0.250, 0.250, 0.250)  -0.17
Pt (0.500, 0.500, 0.500)  -0.15
Tl (0.000, 0.000, 0.000)  0.03

## Properties
As for the space-group type: F-43m (216). For the raw total energy, the calculation gives -0.3715 Ry/atom.


4.
Computed, not measured: MoIBr2Cl2 after structural relaxation at the GGA-PBE level of DFT.

abc: 6.580 7.140 9.692
angles: 108.17 92.02 115.55
Each line ends with the local moment (μB).
Fractional positions:
Br (0.877, 0.370, 0.134)  -0.02
Br (0.443, 0.562, 0.325)  0.01
Br (0.557, 0.438, 0.675)  0.01
Br (0.123, 0.630, 0.866)  -0.02
Cl (0.776, 0.832, 0.043)  0.00
Cl (0.286, 0.006, 0.236)  0.00
Cl (0.714, 0.994, 0.764)  0.00
Cl (0.224, 0.168, 0.957)  0.00
I (0.926, 0.193, 0.445)  -0.06
I (0.074, 0.807, 0.555)  -0.06
Mo (0.102, 0.206, 0.206)  0.96
Mo (0.898, 0.794, 0.794)  0.96

## Properties
As for the space-group type: P-1 (2). For the raw total energy, the calculation gives -0.2759 Ry/atom.


5.
Computed, not measured: LiNdDyS3 after structural relaxation at the GGA-PBE level of DFT.

abc: 8.569 8.569 8.097
angles: 103.82 103.82 25.97
Fractional positions:
Dy (0.834, 0.834, 0.414)
Dy (0.166, 0.166, 0.586)
Li (0.500, 0.500, 0.305)
Li (0.500, 0.500, 0.695)
Nd (0.138, 0.138, 0.071)
Nd (0.862, 0.862, 0.929)
S (0.500, 0.500, 0.000)
S (0.324, 0.324, 0.168)
S (0.664, 0.664, 0.345)
S (0.000, 0.000, 0.500)
S (0.336, 0.336, 0.655)
S (0.676, 0.676, 0.832)

## Properties
As for the space-group type: C2/m (12). For the raw total energy, the calculation gives -0.4282 Ry/atom.


6.
Computed, not measured: LiHfAgS3 after structural relaxation at the GGA-PBE level of DFT.

abc: 3.654 10.688 12.105
angles: 90.00 90.00 90.00
Fractional positions:
Ag (0.750, 0.295, 0.239)
Ag (0.250, 0.795, 0.261)
Ag (0.750, 0.205, 0.739)
Ag (0.250, 0.705, 0.761)
Hf (0.750, 0.669, 0.062)
Hf (0.250, 0.169, 0.438)
Hf (0.750, 0.831, 0.562)
Hf (0.250, 0.331, 0.938)
Li (0.750, 0.019, 0.128)
Li (0.250, 0.519, 0.372)
Li (0.750, 0.481, 0.628)
Li (0.250, 0.981, 0.872)
S (0.250, 0.846, 0.055)
S (0.750, 0.416, 0.066)
S (0.250, 0.123, 0.243)
S (0.750, 0.623, 0.257)
S (0.250, 0.916, 0.434)
S (0.750, 0.346, 0.445)
S (0.250, 0.654, 0.555)
S (0.750, 0.084, 0.566)
S (0.250, 0.377, 0.743)
S (0.750, 0.877, 0.757)
S (0.250, 0.584, 0.934)
S (0.750, 0.154, 0.945)

## Properties
As for the space-group type: Pnma (62). For the raw total energy, the calculation gives -0.4096 Ry/atom.


7.
Computed, not measured: NdZrBe2Si2 after structural relaxation at the GGA-PBE level of DFT.

abc: 3.825 3.825 7.931
angles: 90.00 90.00 120.00
Fractional positions:
Be (0.667, 0.333, 0.280)
Be (0.333, 0.667, 0.720)
Nd (0.000, 0.000, 0.000)
Si (0.333, 0.667, 0.271)
Si (0.667, 0.333, 0.729)
Zr (0.000, 0.000, 0.500)

## Properties
As for the space-group type: P-3m1 (164). For the raw total energy, the calculation gives -0.4366 Ry/atom.


8.
Computed, not measured: GaFeCo2 after structural relaxation at the GGA-PBE level of DFT.

abc: 3.996 3.996 7.213
angles: 90.00 90.00 120.00
Fractional positions:
Co (0.667, 0.333, 0.094)
Co (0.667, 0.333, 0.406)
Co (0.333, 0.667, 0.594)
Co (0.333, 0.667, 0.906)
Fe (0.333, 0.667, 0.250)
Fe (0.667, 0.333, 0.750)
Ga (0.000, 0.000, 0.000)
Ga (0.000, 0.000, 0.500)

## Properties
As for the space-group type: P6_3/mmc (194). For the raw total energy, the calculation gives -0.4689 Ry/atom.


9.
Computed, not measured: LuMo after structural relaxation at the GGA-PBE level of DFT.

abc: 3.990 3.990 3.990
angles: 60.00 60.00 60.00
Fractional positions:
Lu (0.000, 0.000, 0.000)
Mo (0.500, 0.500, 0.500)

## Properties
As for the space-group type: Fm-3m (225). As for the calculated formation energy: 1272 meV per atom.


10.
Computed, not measured: LiNd2Te6 after structural relaxation at the GGA-PBE level of DFT.

abc: 7.139 7.139 7.139
angles: 59.96 59.96 59.96
Fractional positions:
Li (0.000, 0.000, 0.000)
Nd (0.250, 0.250, 0.250)
Nd (0.750, 0.750, 0.750)
Te (0.742, 0.258, 0.258)
Te (0.258, 0.742, 0.258)
Te (0.742, 0.742, 0.258)
Te (0.258, 0.258, 0.742)
Te (0.742, 0.258, 0.742)
Te (0.258, 0.742, 0.742)

## Properties
As for the space-group type: Fm-3m (225). For the raw total energy, the calculation gives -0.2849 Ry/atom.


11.
Computed, not measured: DyErLu2 after structural relaxation at the GGA-PBE level of DFT.

abc: 5.523 7.087 7.087
angles: 60.00 90.00 90.00
Fractional positions:
Dy (0.000, 0.333, 0.333)
Dy (0.500, 0.667, 0.667)
Er (0.000, 0.834, 0.332)
Er (0.000, 0.332, 0.834)
Lu (0.500, 0.668, 0.166)
Lu (0.500, 0.166, 0.166)
Lu (0.500, 0.166, 0.668)
Lu (0.000, 0.834, 0.834)

## Properties
As for the space-group type: Amm2 (38). As for the calculated formation energy: 1 meV per atom.


12.
Computed, not measured: BPd after structural relaxation at the GGA-PBE level of DFT.

abc: 3.176 3.176 3.176
angles: 60.00 60.00 60.00
Fractional positions:
B (0.000, 0.000, 0.000)
Pd (0.500, 0.500, 0.500)

## Properties
As for the space-group type: Fm-3m (225). For the raw total energy, the calculation gives -0.4063 Ry/atom.


What is the formula in the second record?
BaNaPd


What is the formula in the fifth record?
LiNdDyS3